This record from the Alexandria database describes a geometry-optimized KTiTeO5 structure. The functional is PBE.

ΔE_f (raw)	-1.784	eV/atom
M_tot	0.0000	μB/atom

abc: 6.057 6.057 7.463
angles: 103.53 103.53 106.37
Atoms (fractional coordinates):
Te (0.310, 0.690, 0.750)
O (0.219, 0.360, 0.577)
O (0.781, 0.640, 0.423)
Te (0.690, 0.310, 0.250)
O (0.957, 0.043, 0.750)
O (0.709, 0.098, 0.405)
Ti (0.000, 0.000, 0.000)
O (0.291, 0.902, 0.595)
K (0.675, 0.325, 0.750)
K (0.325, 0.675, 0.250)
O (0.043, 0.957, 0.250)
O (0.902, 0.291, 0.095)
O (0.360, 0.219, 0.077)
O (0.098, 0.709, 0.905)
Ti (0.000, 0.000, 0.500)
O (0.640, 0.781, 0.923)

This record from the Alexandria database describes a geometry-optimized Cd2InRh structure. The functional is PBE.

M_tot	0.0000	μB/atom
energy relative to the elements	-0.084	eV per atom

abc: 5.454 5.454 5.259
angles: 64.99 64.99 33.99
Atoms (fractional coordinates):
In (0.523, 0.523, 0.406)
Cd (0.747, 0.747, 0.799)
Rh (0.252, 0.252, 0.345)
Cd (0.978, 0.978, 0.950)

This record from the Alexandria database describes a geometry-optimized Rb4La3BiS8 structure. The functional is PBE.

ΔE_f (raw)	-1.619	eV/atom
M_tot	0.0000	μB/atom

abc: 8.577 9.156 8.577
angles: 117.95 120.00 90.00
Atoms (fractional coordinates):
La (0.500, 0.500, 0.500)
S (0.231, 0.699, 0.968)
La (0.500, 0.500, 0.000)
S (0.231, 0.699, 0.462)
Rb (0.000, 0.000, 0.500)
Rb (0.500, 0.000, 0.000)
S (0.268, 0.303, 0.535)
S (0.263, 0.301, 0.032)
S (0.737, 0.699, 0.968)
Rb (0.500, 0.000, 0.500)
S (0.732, 0.697, 0.465)
La (0.000, 0.500, 0.500)
S (0.769, 0.301, 0.032)
Bi (0.000, 0.500, 0.000)
Rb (0.000, 0.000, 0.000)
S (0.769, 0.301, 0.538)

This record from the Alexandria database describes a geometry-optimized BaAl2Br structure. The functional is PBE.

ΔE_f (raw)	-0.300	eV/atom
M_tot	0.0000	μB/atom
relative energy among the computed polymorphs	0.232	eV per atom

abc: 4.633 4.633 12.411
angles: 79.24 79.24 90.00
Atoms (fractional coordinates):
Al (0.875, 0.768, 0.750)
Al (0.518, 0.125, 0.250)
Br (0.250, 0.750, 0.500)
Ba (0.000, 0.000, 0.000)
Al (0.375, 0.482, 0.750)
Al (0.232, 0.625, 0.250)
Ba (0.750, 0.250, 0.500)
Br (0.500, 0.500, 0.000)

This record from the Alexandria database describes a geometry-optimized Te4PdAu2 structure. The functional is PBE.

ΔE_f (raw)	-0.121	eV/atom
M_tot	0.0000	μB/atom

abc: 8.210 8.245 8.245
angles: 59.57 60.14 60.14
Atoms (fractional coordinates):
Pd (0.500, 0.500, 0.000)
Te (0.257, 0.271, 0.215)
Au (0.500, 0.500, 0.500)
Au (0.125, 0.125, 0.625)
Te (0.248, 0.268, 0.768)
Pd (0.000, 0.500, 0.000)
Te (0.743, 0.285, 0.229)
Te (0.716, 0.268, 0.768)
Au (0.500, 0.000, 0.000)
Te (0.752, 0.732, 0.232)
Au (0.875, 0.875, 0.375)
Te (0.284, 0.732, 0.232)
Te (0.257, 0.715, 0.771)
Te (0.743, 0.729, 0.785)

This record from the Alexandria database describes a geometry-optimized BaMg2Tl6 structure. The functional is PBE.

M_tot	0.0000	μB/atom
energy relative to the elements	0.111	eV per atom

abc: 9.768 9.768 9.768
angles: 60.00 60.00 60.00
Atoms (fractional coordinates):
Mg (0.125, 0.625, 0.125)
Tl (0.245, 0.755, 0.755)
Tl (0.005, 0.005, 0.495)
Tl (0.495, 0.005, 0.005)
Tl (0.755, 0.245, 0.245)
Tl (0.495, 0.005, 0.495)
Tl (0.495, 0.495, 0.005)
Mg (0.125, 0.125, 0.625)
Tl (0.005, 0.495, 0.005)
Ba (0.500, 0.500, 0.500)
Tl (0.245, 0.245, 0.755)
Tl (0.755, 0.755, 0.245)
Tl (0.755, 0.245, 0.755)
Tl (0.245, 0.755, 0.245)
Ba (0.750, 0.750, 0.750)
Tl (0.005, 0.495, 0.495)
Mg (0.125, 0.125, 0.125)
Mg (0.625, 0.125, 0.125)

Question: M_tot of number 1 (KTiTeO5)?
Answer: 0.0000 μB/atom